# 1
# Tc2BrCl PBEsol relaxed
data_Tc2BrCl
_cell_length_a 2.924
_cell_length_b 2.924
_cell_length_c 8.180
_cell_angle_alpha 90.00
_cell_angle_beta 90.00
_cell_angle_gamma 90.00
_space_group_name_H-M_alt 'P 4 m m'
_space_group_IT_number 99
_space_group_name_Hall 'P 4 -2'
loop_
_atom_site_label
_atom_site_type_symbol
_atom_site_fract_x
_atom_site_fract_y
_atom_site_fract_z
Tc1 Tc 0.000 0.000 0.000
Tc2 Tc 0.500 0.500 0.198
Br1 Br 0.000 0.000 0.415
Cl1 Cl 0.500 0.500 0.801
# * uncorrected formation energy: 0.057 eV per atom
# * size of the total moment: 0.0 μB/f.u.
# * energy above the lowest structure with this stoichiometry: 0 meV per atom


# 2
# Tc2BrCl PBEsol relaxed
data_Tc2BrCl
_cell_length_a 5.723
_cell_length_b 8.346
_cell_length_c 3.046
_cell_angle_alpha 90.00
_cell_angle_beta 118.11
_cell_angle_gamma 90.00
_space_group_name_H-M_alt 'C 1 2/m 1'
_space_group_IT_number 12
_space_group_name_Hall '-C 2y'
loop_
_atom_site_label
_atom_site_type_symbol
_atom_site_fract_x
_atom_site_fract_y
_atom_site_fract_z
Tc1 Tc 0.250 0.250 0.000
Br1 Br 0.000 0.000 0.000
Cl1 Cl 0.000 0.500 0.000
# * uncorrected formation energy: 0.911 eV per atom
# * size of the total moment: 1.6 μB/f.u.
# * energy above the lowest structure with this stoichiometry: 854 meV per atom


# 3
# Tc2BrCl PBEsol relaxed
data_Tc2BrCl
_cell_length_a 6.152
_cell_length_b 6.152
_cell_length_c 6.152
_cell_angle_alpha 90.00
_cell_angle_beta 90.00
_cell_angle_gamma 90.00
_space_group_name_H-M_alt 'F m -3 m'
_space_group_IT_number 225
_space_group_name_Hall '-F 4 2 3'
loop_
_atom_site_label
_atom_site_type_symbol
_atom_site_fract_x
_atom_site_fract_y
_atom_site_fract_z
Tc1 Tc 0.250 0.250 0.250
Br1 Br 0.000 0.000 0.000
Cl1 Cl 0.000 0.000 0.500
# * uncorrected formation energy: 0.948 eV per atom
# * size of the total moment: 0.0 μB/f.u.
# * energy above the lowest structure with this stoichiometry: 891 meV per atom


# 4
# Tc2BrCl PBEsol relaxed
data_Tc2BrCl
_cell_length_a 2.9620
_cell_length_b 2.9620
_cell_length_c 27.2639
_cell_angle_alpha 90.00
_cell_angle_beta 90.00
_cell_angle_gamma 120.00
_space_group_name_H-M_alt 'R 3 m'
_space_group_IT_number 160
_space_group_name_Hall 'R 3 -2"'
loop_
_atom_site_label
_atom_site_type_symbol
_atom_site_fract_x
_atom_site_fract_y
_atom_site_fract_z
Tc1 Tc 0.0000 0.0000 0.0000
Tc2 Tc 0.0000 0.0000 0.2591
Br1 Br 0.0000 0.0000 0.7395
Cl1 Cl 0.0000 0.0000 0.5263
# * uncorrected formation energy: 0.123 eV per atom
# * size of the total moment: 0.0 μB/f.u.
# * energy above the lowest structure with this stoichiometry: 65 meV per atom